## TeAsOsI2 (PBEsol)

Data for an optimized crystal structure of TeAsOsI2.

Output
For the formation energy from raw total energies, the calculation gives 1661 meV/atom. As for the final energy: -3.22 eV/atom. For the total magnetization, the calculation gives 4.4 μB/f.u. Its crystal system is tetragonal. As for the space group: P4/mmm (123).

Cell lengths 5.468, 5.468, 5.376 Å; angles 90.00, 90.00, 90.00 degrees
Last column: magnetic moment on the atom in μB.
Fractional positions:
I 0.000 0.500 0.000  0.11
Te 0.000 0.000 0.500  0.12
I 0.500 0.000 0.000  0.11
As 0.000 0.000 0.000  -0.03
Os 0.500 0.500 0.500  3.39

## Co3C4 (PBEsol)

Data for an optimized crystal structure of Co3C4.

Output
As for the final energy: -7.88 eV/atom. For the total magnetization, the calculation gives 0.1 μB/f.u. Its crystal system is tetragonal. As for the space group: I4/mmm (139). The energy above the most stable polymorph in this dataset comes out at 0 meV per atom. As for the calculated formation energy: 949 meV per atom.

Cell lengths 2.851, 2.851, 6.901 Å; angles 101.92, 101.92, 90.00 degrees
Last column: magnetic moment on the atom in μB.
Fractional positions:
C 0.838 0.838 0.675  0.00
C 0.550 0.550 0.100  0.00
Co 0.309 0.309 0.619  -0.02
C 0.162 0.162 0.325  0.00
Co 0.000 0.000 0.000  0.18
C 0.450 0.450 0.900  0.00
Co 0.691 0.691 0.381  -0.02

## URu3 (PBEsol)

Data for an optimized crystal structure of URu3.

Output
As for the final energy: -10.94 eV/atom. For the total magnetization, the calculation gives 0.0 μB/f.u. Its crystal system is cubic. As for the space group: Pm-3m (221). As for the calculated formation energy: -274 meV per atom.

Cell lengths 3.938, 3.938, 3.938 Å; angles 90.00, 90.00, 90.00 degrees
Fractional positions:
Ru 0.500 0.500 0.000
Ru 0.500 0.000 0.500
U 0.000 0.000 0.000
Ru 0.000 0.500 0.500

## La2MnRh (PBEsol)

Data for an optimized crystal structure of La2MnRh.

Output
As for the final energy: -7.12 eV/atom. For the total magnetization, the calculation gives 4.0 μB/f.u. Its crystal system is cubic. As for the space group: F-43m (216). The energy above the most stable polymorph in this dataset comes out at 138 meV per atom. As for the calculated formation energy: 30 meV per atom.

Cell lengths 4.885, 4.885, 4.885 Å; angles 60.00, 60.00, 60.00 degrees
Last column: magnetic moment on the atom in μB.
Fractional positions:
Rh 0.250 0.250 0.250  0.30
Mn 0.500 0.500 0.500  3.57
La 0.750 0.750 0.750  -0.01
La 0.000 0.000 0.000  -0.07

## SrCaAg2 (PBEsol)

Data for an optimized crystal structure of SrCaAg2.

Output
As for the final energy: -2.93 eV/atom. For the total magnetization, the calculation gives 0.0 μB/f.u. Its crystal system is orthorhombic. As for the space group: Amm2 (38). As for the calculated formation energy: -278 meV per atom.

Cell lengths 4.193, 4.631, 6.110 Å; angles 90.00, 110.07, 90.00 degrees
Fractional positions:
Ca 0.486 0.000 0.972
Ag 0.051 0.500 0.102
Ag 0.192 0.000 0.385
Sr 0.768 0.500 0.536

## Sr3CaAl8H24C8O44 (PBEsol)

Data for an optimized crystal structure of Sr3CaAl8H24C8O44.

Output
As for the final energy: -6.72 eV/atom. For the total magnetization, the calculation gives 0.1 μB/f.u. Its crystal system is monoclinic. As for the space group: Pm (6).

Cell lengths 5.613, 8.893, 15.928 Å; angles 89.81, 90.00, 90.00 degrees
Last column: magnetic moment on the atom in μB.
Fractional positions:
H 0.000 0.886 0.747  0.00
O 0.300 0.096 0.818  0.00
H 0.000 0.510 0.898  0.00
C 0.500 0.755 0.449  0.00
H 0.500 0.870 0.724  0.00
H 0.361 0.352 0.986  0.00
O 0.500 0.784 0.033  0.02
O 0.500 0.524 0.818  0.00
O 0.500 0.739 0.528  0.00
O 0.201 0.593 0.688  0.00
O 0.798 0.913 0.183  0.00
O 0.702 0.735 0.915  0.00
O 0.500 0.717 0.256  0.00
H 0.000 0.370 0.782  0.00
O 0.000 0.473 0.182  0.00
H 0.138 0.644 0.008  0.00
O 0.500 0.783 0.764  0.00
O 0.000 0.025 0.690  0.00
O 0.000 0.584 0.028  0.00
Al 0.252 0.666 0.800  0.00
H 0.000 0.130 0.278  0.00
C 0.000 0.577 0.649  0.00
Sr 0.000 0.977 0.916  0.00
O 0.500 0.304 0.715  0.00
O 0.000 0.244 0.966  0.05
H 0.500 0.110 0.253  0.00
H 0.000 0.973 0.633  0.00
O 0.500 0.455 0.429  0.00
Al 0.748 0.833 0.294  0.00
O 0.797 0.262 0.086  0.02
H 0.000 0.613 0.240  0.00
O 0.797 0.234 0.591  0.00
Al 0.752 0.167 0.706  0.00
O 0.203 0.234 0.591  0.00
H 0.000 0.977 0.394  0.00
C 0.000 0.255 0.045  0.00
O 0.000 0.964 0.067  0.00
O 0.702 0.763 0.408  0.00
O 0.000 0.536 0.838  0.00
O 0.203 0.262 0.086  0.02
O 0.500 0.975 0.311  0.00
O 0.298 0.735 0.915  0.00
O 0.000 0.284 0.742  0.00
O 0.000 0.897 0.544  0.00
Al 0.248 0.167 0.706  0.00
O 0.500 0.037 0.669  0.00
O 0.500 0.100 0.458  0.00
Sr 0.000 0.524 0.413  0.00
O 0.500 0.461 0.162  0.00
Ca 0.500 0.024 0.088  0.00
H 0.500 0.632 0.216  0.00
H 0.500 0.027 0.368  0.00
O 0.000 0.216 0.237  0.00
H 0.000 0.522 0.124  0.00
O 0.500 0.416 0.971  0.00
Al 0.751 0.331 0.200  0.00
H 0.859 0.835 0.531  0.00
O 0.799 0.593 0.688  0.00
Al 0.748 0.666 0.800  0.00
C 0.500 0.082 0.858  0.00
Al 0.249 0.331 0.200  0.00
O 0.500 0.193 0.208  0.00
C 0.500 0.421 0.351  0.00
O 0.000 0.801 0.790  0.00
O 0.000 0.697 0.283  0.00
H 0.500 0.020 0.608  0.00
O 0.299 0.404 0.312  0.00
H 0.862 0.644 0.008  0.00
O 0.500 0.051 0.937  0.00
H 0.500 0.387 0.759  0.00
O 0.000 0.261 0.472  0.00
H 0.141 0.835 0.531  0.00
Sr 0.500 0.475 0.586  0.00
O 0.701 0.404 0.312  0.00
H 0.500 0.477 0.876  0.00
H 0.359 0.162 0.471  0.00
Al 0.252 0.833 0.294  0.00
O 0.000 0.962 0.333  0.00
C 0.000 0.243 0.551  0.00
C 0.000 0.929 0.144  0.00
H 0.639 0.352 0.986  0.00
O 0.202 0.913 0.183  0.00
H 0.500 0.478 0.101  0.00
C 0.500 0.753 0.955  0.00
O 0.700 0.096 0.818  0.00
O 0.000 0.544 0.570  0.00
O 0.298 0.763 0.408  0.00
H 0.641 0.162 0.471  0.00

## Al2Cu5Ni (PBEsol)

Data for an optimized crystal structure of Al2Cu5Ni.

Output
As for the final energy: -4.74 eV/atom. For the total magnetization, the calculation gives 0.0 μB/f.u. Its crystal system is orthorhombic. As for the space group: Pbam (55). As for the calculated formation energy: -243 meV per atom.

Cell lengths 3.594, 5.107, 10.221 Å; angles 90.00, 90.00, 90.00 degrees
Fractional positions:
Cu 0.000 0.014 0.249
Cu 0.000 0.986 0.751
Al 0.500 0.733 0.880
Cu 0.000 0.000 0.000
Cu 0.500 0.260 0.372
Al 0.500 0.767 0.380
Cu 0.000 0.500 0.500
Cu 0.500 0.740 0.628
Ni 0.000 0.000 0.500
Cu 0.000 0.514 0.251
Cu 0.500 0.760 0.128
Al 0.500 0.233 0.620
Ni 0.000 0.500 0.000
Cu 0.500 0.240 0.872
Cu 0.000 0.486 0.749
Al 0.500 0.267 0.120

## KTeF2 (PBEsol)

Data for an optimized crystal structure of KTeF2.

Output
For the formation energy from raw total energies, the calculation gives -1189 meV/atom. As for the final energy: -3.32 eV/atom. For the total magnetization, the calculation gives 2.9 μB/f.u. Its crystal system is cubic. As for the space group: Fm-3m (225). The energy above the most stable polymorph in this dataset comes out at 0 meV per atom.

Cell lengths 4.761, 4.761, 4.761 Å; angles 60.00, 60.00, 60.00 degrees
Last column: magnetic moment on the atom in μB.
Fractional positions:
Te 0.500 0.500 0.500  1.31
K 0.000 0.000 0.000  0.03
F 0.750 0.750 0.750  0.26
F 0.250 0.250 0.250  0.26

## BaCdBr (PBEsol)

Data for an optimized crystal structure of BaCdBr.

Output
For the formation energy from raw total energies, the calculation gives -604 meV/atom. As for the final energy: -2.34 eV/atom. For the total magnetization, the calculation gives 0.0 μB/f.u. Its crystal system is cubic. As for the space group: F-43m (216). The energy above the most stable polymorph in this dataset comes out at 208 meV per atom.

Cell lengths 5.427, 5.427, 5.427 Å; angles 60.00, 60.00, 60.00 degrees
Fractional positions:
Cd 0.250 0.250 0.250
Br 0.500 0.500 0.500
Ba 0.000 0.000 0.000

## Sb2PbCl (PBEsol)

Data for an optimized crystal structure of Sb2PbCl.

Output
For the formation energy from raw total energies, the calculation gives 9 meV/atom. As for the final energy: -3.77 eV/atom. For the total magnetization, the calculation gives 0.0 μB/f.u. Its crystal system is cubic. As for the space group: Fm-3m (225). The energy above the most stable polymorph in this dataset comes out at 206 meV per atom.

Cell lengths 5.217, 5.217, 5.217 Å; angles 60.00, 60.00, 60.00 degrees
Fractional positions:
Cl 0.000 0.000 0.000
Sb 0.750 0.750 0.750
Pb 0.500 0.500 0.500
Sb 0.250 0.250 0.250